P) ## NaTl2Ni2 (PBE)

Data for NaTl2Ni2 after structural relaxation.

Total moment in μB/cell: 0.00
Symmetry: I4/mmm

The structure in POSCAR format:
```
NaTl2Ni2
1.0
-1.739 1.739 8.907
1.739 -1.739 8.907
1.739 1.739 -8.907
Na Tl Ni
1 2 2
Cartesian
0.000 0.000 0.000
0.000 0.000 6.545
0.000 0.000 11.269
1.739 0.000 4.454
0.000 1.739 4.454
```


Q) ## NaTl2Ni2 (PBE)

Data for NaTl2Ni2 after structural relaxation.

Total moment in μB/cell: 0.00
Symmetry: P4/mbm

The structure in POSCAR format:
```
NaTl2Ni2
1.0
7.870 0.000 0.000
0.000 7.870 0.000
0.000 0.000 3.052
Na Tl Ni
2 4 4
Cartesian
0.000 0.000 0.000
3.935 3.935 0.000
1.222 2.713 0.000
2.713 6.648 0.000
5.157 1.222 0.000
6.648 5.157 0.000
1.103 5.038 1.526
2.831 1.103 1.526
5.038 6.766 1.526
6.766 2.831 1.526
```


R) ## NaTl2Ni2 (PBE)

Data for NaTl2Ni2 after structural relaxation.

Total moment in μB/cell: 0.00
Symmetry: P4/mbm

The structure in POSCAR format:
```
NaTl2Ni2
1.0
7.549 0.000 0.000
0.000 7.549 0.000
0.000 0.000 3.254
Na Tl Ni
2 4 4
Cartesian
0.000 0.000 0.000
3.775 3.775 0.000
1.298 2.476 1.627
2.476 6.251 1.627
5.073 1.298 1.627
6.251 5.073 1.627
0.918 4.693 0.000
2.857 0.918 0.000
4.693 6.631 0.000
6.631 2.857 0.000
```


S) ## NaTl2Ni2 (PBE)

Data for NaTl2Ni2 after structural relaxation.

Total moment in μB/cell: 0.00
Symmetry: I4/mmm

The structure in POSCAR format:
```
NaTl2Ni2
1.0
-2.453 2.453 4.371
2.453 -2.453 4.371
2.453 2.453 -4.371
Na Tl Ni
1 2 2
Cartesian
0.000 0.000 0.000
2.453 0.000 2.185
0.000 2.453 2.185
0.000 0.000 3.220
0.000 0.000 5.522
```


Last place for stability: S)


P) ## NaZrTlNi2 (PBE)

Data for NaZrTlNi2 after structural relaxation.

Total moment in μB/cell: 0.00
Symmetry: P4/mmm

The structure in POSCAR format:
```
NaZrTlNi2
1.0
4.765 0.000 0.000
0.000 4.765 0.000
0.000 0.000 5.712
Na Zr Tl Ni
1 1 1 2
Cartesian
0.000 0.000 0.000
2.382 2.382 2.856
2.382 2.382 0.000
0.000 2.382 2.856
2.382 0.000 2.856
```


Q) ## NaZrTlNi2 (PBE)

Data for NaZrTlNi2 after structural relaxation.

Total moment in μB/cell: 0.63
Symmetry: P4/mmm

The structure in POSCAR format:
```
NaZrTlNi2
1.0
4.477 0.000 0.000
0.000 4.477 0.000
0.000 0.000 4.901
Na Zr Tl Ni
1 1 1 2
Cartesian
0.000 0.000 0.000
2.238 2.238 2.451
0.000 0.000 2.451
0.000 2.238 0.000
2.238 0.000 0.000
```


Last place for stability: Q)


P) ## NaVNi (PBE)

Data for NaVNi after structural relaxation.

Total moment in μB/cell: 0.00
Symmetry: Pm

The structure in POSCAR format:
```
NaVNi
1.0
2.689 0.000 0.000
0.000 3.580 0.000
-0.303 0.000 11.048
Na V Ni
2 2 2
Cartesian
0.000 0.000 0.000
1.056 1.790 7.960
1.036 1.790 4.784
1.342 1.790 2.419
2.401 0.000 5.933
2.566 0.000 3.357
```


Q) ## NaVNi (PBE)

Data for NaVNi after structural relaxation.

Total moment in μB/cell: 0.00
Symmetry: Fmm2

The structure in POSCAR format:
```
NaVNi
1.0
0.000 2.007 6.915
1.704 0.000 6.915
1.704 2.007 0.000
Na V Ni
1 1 1
Cartesian
0.000 0.000 0.000
1.704 2.007 9.763
1.704 2.007 4.514
```


Last place for stability: Q)


P) ## NaVNi (PBE)

Data for NaVNi after structural relaxation.

Total moment in μB/cell: 0.00
Symmetry: Cm

The structure in POSCAR format:
```
NaVNi
1.0
3.343 -1.928 0.000
3.343 1.928 0.000
-0.030 0.000 9.523
Na V Ni
2 2 2
Cartesian
0.000 0.000 0.000
4.457 0.000 6.505
0.002 0.000 3.736
2.227 0.000 2.269
2.230 0.000 4.645
4.455 0.000 2.100
```


Q) ## NaVNi (PBE)

Data for NaVNi after structural relaxation.

Total moment in μB/cell: 0.00
Symmetry: P4/nmm

The structure in POSCAR format:
```
NaVNi
1.0
2.947 0.000 0.000
0.000 2.947 0.000
0.000 0.000 11.844
Na V Ni
2 2 2
Cartesian
0.737 0.737 1.658
2.210 2.210 10.187
0.737 0.737 5.118
2.210 2.210 6.726
0.737 0.737 7.981
2.210 2.210 3.863
```


Last place for stability: P)


P) ## NaV2Ni (PBE)

Data for NaV2Ni after structural relaxation.

Total moment in μB/cell: 0.00
Symmetry: I-42d

The structure in POSCAR format:
```
NaV2Ni
1.0
-1.779 1.779 9.563
1.779 -1.779 9.563
1.779 1.779 -9.563
Na V Ni
2 4 2
Cartesian
0.000 0.000 0.000
0.000 1.779 4.782
0.890 -0.802 7.172
0.977 0.890 2.391
0.890 2.581 -2.391
0.802 0.890 11.954
1.779 0.000 4.782
0.000 0.000 9.563
```


Q) ## NaV2Ni (PBE)

Data for NaV2Ni after structural relaxation.

Total moment in μB/cell: 3.05
Symmetry: Fm-3m

The structure in POSCAR format:
```
NaV2Ni
1.0
0.000 3.069 3.069
3.069 0.000 3.069
3.069 3.069 0.000
Na V Ni
1 2 1
Cartesian
0.000 0.000 0.000
1.535 1.535 1.535
4.604 4.604 4.604
3.069 3.069 3.069
```


Last place for stability: P)


P) ## NaNi2W (PBE)

Data for NaNi2W after structural relaxation.

Total moment in μB/cell: 0.00
Symmetry: Fm-3m

The structure in POSCAR format:
```
NaNi2W
1.0
0.000 3.031 3.031
3.031 0.000 3.031
3.031 3.031 0.000
Na Ni W
1 2 1
Cartesian
0.000 0.000 0.000
1.516 1.516 1.516
4.547 4.547 4.547
3.031 3.031 3.031
```


Q) ## NaNi2W (PBE)

Data for NaNi2W after structural relaxation.

Total moment in μB/cell: 2.00
Symmetry: I-42d

The structure in POSCAR format:
```
NaNi2W
1.0
-3.407 3.407 2.824
3.407 -3.407 2.824
3.407 3.407 -2.824
Na Ni W
2 4 2
Cartesian
0.000 0.000 0.000
0.000 3.407 1.412
1.704 -1.464 2.118
1.943 1.704 0.706
1.704 4.871 -0.706
1.464 1.704 3.529
3.407 0.000 1.412
0.000 0.000 2.824
```


Last place for stability: Q)